1.
# As2RuCl PBE-GGA relaxed
# Calculated volume: 72.9 Å³/cell
# Uncorrected energy: -5.1616 eV/atom
# Uncorrected formation energy: -0.0562 eV per atom
data_As2RuCl
_chemical_formula_sum 'As2 Ru1 Cl1'
_symmetry_space_group_name_H-M 'P 1 2/m 1'
_symmetry_Int_Tables_number 10
_symmetry_space_group_name_Hall '-P 2y'
_cell_length_a 3.102
_cell_length_b 3.097
_cell_length_c 7.743
_cell_angle_alpha 90.00
_cell_angle_beta 101.51
_cell_angle_gamma 90.00
loop_
_atom_site_label
_atom_site_type_symbol
_atom_site_fract_x
_atom_site_fract_y
_atom_site_fract_z
As1 As 0.109 0.000 0.201
Ru1 Ru 0.500 0.500 0.000
Cl1 Cl 0.500 0.500 0.500

2.
# Dy4ZnIn2 PBE-GGA relaxed
# Calculated volume: 592.8 Å³/cell
# Energy relative to the elements: -6.4 kcal/mol of atoms
# Uncorrected energy: -3.8735 eV/atom
data_Dy4ZnIn2
_chemical_formula_sum 'Dy12 Zn3 In6'
_symmetry_space_group_name_H-M 'R -3 m'
_symmetry_Int_Tables_number 166
_symmetry_space_group_name_Hall '-R 3 2"'
_cell_length_a 5.1955
_cell_length_b 5.1955
_cell_length_c 25.3581
_cell_angle_alpha 90.00
_cell_angle_beta 90.00
_cell_angle_gamma 120.00
loop_
_atom_site_label
_atom_site_type_symbol
_atom_site_fract_x
_atom_site_fract_y
_atom_site_fract_z
Dy1 Dy 0.0000 0.0000 0.1239
Dy2 Dy 0.0000 0.0000 0.3747
Zn1 Zn 0.0000 0.0000 0.5000
In1 In 0.0000 0.0000 0.2501

3.
# Sr2AlGaPt6 PBE-GGA relaxed
# Calculated volume: 652.8 Å³/cell
# Energy relative to the elements: -14.6 kcal/mol of atoms
# Uncorrected energy: -5.2728 eV/atom
data_Sr2AlGaPt6
_chemical_formula_sum 'Sr6 Al3 Ga3 Pt18'
_symmetry_space_group_name_H-M 'R -3 m'
_symmetry_Int_Tables_number 166
_symmetry_space_group_name_Hall '-R 3 2"'
_cell_length_a 5.7324
_cell_length_b 5.7324
_cell_length_c 22.9398
_cell_angle_alpha 90.00
_cell_angle_beta 90.00
_cell_angle_gamma 120.00
loop_
_atom_site_label
_atom_site_type_symbol
_atom_site_fract_x
_atom_site_fract_y
_atom_site_fract_z
Sr1 Sr 0.0000 0.0000 0.2054
Al1 Al 0.0000 0.0000 0.5000
Ga1 Ga 0.0000 0.0000 0.0000
Pt1 Pt 0.0097 0.5049 0.2526